No. 1
8
Lattice="4.9354 0.0000 0.0001 0.0000 4.8460 0.9520 0.0002 2.9410 10.6396" Properties=species:S:1:pos:R:3 comment="Y2Er4TmSc PBE optimized geometry" magnetic_moment_mub_per_fu=0.00 formation_energy_ev_per_atom=0.039 sg="P4/mmm, No. 123" density_g_cm3=7.319 dos_ef_per_ev_atom=1.53 pbc="T T T"
Tm 0.0001 3.8934 5.7958
Er 0.0002 5.8349 8.7284
Er 4.9354 1.9520 2.8632
Er 2.4678 4.3751 3.3388
Er 2.4678 3.4119 8.2528
Y 0.0002 2.9410 10.6396
Y 2.4678 1.4705 5.3198
Sc 2.4677 2.4230 0.4760

=====

No. 2
4
Lattice="-2.8168 -0.5742 3.2225 -3.1183 -1.7398 -3.0356 1.7019 -4.3070 0.7202" Properties=species:S:1:pos:R:3 comment="MgSn2Ge PBE optimized geometry" magnetic_moment_mub_per_fu=0.00 de_polymorph_ev_per_atom=0.0000 formation_energy_ev_per_atom=0.040 sg="P4/mmm, No. 123" density_g_cm3=5.853 dos_ef_per_ev_atom=0.47 pbc="T T T"
Sn 0.8509 -2.1535 0.3601
Sn -1.5591 -0.8699 -1.5178
Ge -1.4084 -0.2871 1.6113
Mg -2.1166 -3.3105 0.4536